# 1
Here is RbBTe2I after structural relaxation from Alexandria. Energies are from PBE.

Geometry as extended XYZ:
```
5
Lattice="6.901 0.000 0.000 0.000 6.901 0.000 0.000 0.000 6.820" Properties=species:S:1:pos:R:3 pbc="T T T"
I 0.000 0.000 3.410
B 3.451 3.451 3.410
Te 0.000 3.451 0.000
Te 3.451 0.000 0.000
Rb 0.000 0.000 0.000
```

Summary:
The calculation puts the energy at -1.59 eV per atom. The value obtained for the distance to the lowest polymorph of the same formula is 1366 meV per atom. The value obtained for the density of states at the Fermi level is 6.45 states/eV/f.u.

---

# 2
Here is Ba6Sn2BiI3 after structural relaxation from Alexandria. Energies are from PBE.

Geometry as extended XYZ:
```
12
Lattice="-1.201 -1.542 4.624 -6.167 -7.088 -3.964 11.724 -2.374 -0.472" Properties=species:S:1:pos:R:3 pbc="T T T"
Ba 2.323 -8.028 -2.073
Ba -0.857 -6.448 0.353
Ba 2.033 -2.976 2.261
Ba -1.124 -1.904 -0.927
Ba 5.480 -9.099 1.115
Ba 5.213 -4.556 -0.165
Sn 2.650 -6.569 1.223
Sn 1.706 -4.435 -1.035
Bi -0.600 -0.771 2.312
I -3.684 -4.315 0.330
I 6.300 -3.605 3.159
I -1.944 -7.399 -2.971
```

Summary:
The calculation puts the energy at -3.45 eV per atom. The value obtained for the density of states at the Fermi level is 6.68 states/eV/f.u.

---

# 3
Here is LiTe2As2 after structural relaxation from Alexandria. Energies are from PBE.

Geometry as extended XYZ:
```
5
Lattice="-2.851 -0.117 -2.413 0.392 -3.706 -0.284 -7.178 -3.083 5.736" Properties=species:S:1:pos:R:3 pbc="T T T"
As -5.629 -2.555 0.987
As -4.008 -4.350 2.052
Te -2.107 -2.084 -0.304
Te -7.530 -4.821 3.343
Li 0.000 0.000 0.000
```

Summary:
The calculation puts the energy at -3.53 eV per atom. The value obtained for the distance to the lowest polymorph of the same formula is 27 meV per atom. The value obtained for the density of states at the Fermi level is 2.99 states/eV/f.u.

---

# 4
Here is Ce2Se3Cl after structural relaxation from Alexandria. Energies are from PBE.

Geometry as extended XYZ:
```
12
Lattice="-3.935 1.406 -6.537 3.558 -1.046 -6.815 -2.124 -5.985 -4.456" Properties=species:S:1:pos:R:3 pbc="T T T"
Ce -0.894 -2.011 -6.366
Ce -0.356 -0.802 -2.538
Ce -2.145 -4.823 -15.270
Ce -1.607 -3.614 -11.442
Se -3.399 -3.839 -6.617
Se 1.568 -3.618 -7.384
Se -1.294 0.425 -8.259
Se 0.898 -1.787 -11.191
Se -4.069 -2.007 -10.424
Se -1.206 -6.050 -9.549
Cl -1.250 -2.813 -8.904
Cl 0.000 0.000 0.000
```

Summary:
The calculation puts the energy at -5.69 eV per atom. The value obtained for the density of states at the Fermi level is 8.64 states/eV/f.u.

---

# 5
Here is Tb12Pm7Pb after structural relaxation from Alexandria. Energies are from PBE.

Geometry as extended XYZ:
```
20
Lattice="-7.821 3.879 1.095 -1.176 -4.211 7.635 3.749 6.634 4.397" Properties=species:S:1:pos:R:3 pbc="T T T"
Tb 2.878 4.476 6.479
Tb -1.587 8.683 5.970
Tb -2.493 3.550 2.948
Tb -5.626 4.185 8.343
Tb 0.420 0.651 10.628
Tb -2.489 6.117 8.669
Tb -2.758 0.185 4.458
Tb -5.667 5.651 2.499
Tb 0.379 2.117 4.784
Tb -2.754 2.752 10.179
Tb -3.660 -2.381 7.157
Tb -8.125 1.826 6.649
Pm 0.457 3.284 8.368
Pm -0.270 5.680 5.654
Pm -1.347 0.095 7.904
Pm -2.624 3.151 6.564
Pm -3.900 6.207 5.223
Pm -4.977 0.622 7.474
Pm -5.704 3.018 4.759
Pb 0.000 0.000 0.000
```

Summary:
The calculation puts the energy at -4.46 eV per atom. The value obtained for the density of states at the Fermi level is 36.36 states/eV/f.u. The calculation puts the formation energy at 0.163 eV/atom.

---

# 6
Here is PmHoPb after structural relaxation from Alexandria. Energies are from PBE.

Geometry as extended XYZ:
```
3
Lattice="5.242 0.000 0.000 2.621 4.540 0.000 2.621 1.513 4.280" Properties=species:S:1:pos:R:3 pbc="T T T"
Pb 2.621 1.513 1.070
Ho 0.000 0.000 0.000
Pm 5.242 3.026 2.140
```

Summary:
The calculation puts the energy at -4.56 eV per atom. The value obtained for the distance to the lowest polymorph of the same formula is 238 meV per atom. The value obtained for the density of states at the Fermi level is 3.80 states/eV/f.u. The calculation puts the formation energy at -0.215 eV/atom.

---

# 7
Here is KLaAs2 after structural relaxation from Alexandria. Energies are from PBE.

Geometry as extended XYZ:
```
4
Lattice="8.681 0.003 0.041 7.692 4.023 0.041 1.947 0.479 3.617" Properties=species:S:1:pos:R:3 pbc="T T T"
As 15.416 3.791 1.225
As 13.285 3.267 2.442
K 10.053 2.472 1.923
La 5.097 1.254 0.039
```

Summary:
The calculation puts the energy at -4.71 eV per atom. The value obtained for the distance to the lowest polymorph of the same formula is 2 meV per atom. The value obtained for the density of states at the Fermi level is 0.99 states/eV/f.u. The calculation puts the formation energy at -0.879 eV/atom.

---

# 8
Here is CdReRu2 after structural relaxation from Alexandria. Energies are from PBE.

Geometry as extended XYZ:
```
4
Lattice="-0.672 -2.608 -0.556 0.959 1.475 -2.114 8.664 -2.673 2.064" Properties=species:S:1:pos:R:3 pbc="T T T"
Cd 2.309 -1.235 -0.819
Re 6.641 -2.572 0.213
Ru 8.521 -2.629 2.030
Ru 4.474 -1.381 1.066
```

Summary:
The calculation puts the energy at -7.58 eV per atom. The value obtained for the density of states at the Fermi level is 5.03 states/eV/f.u. The calculation puts the formation energy at 0.404 eV/atom.

---

# 9
Here is Pm4Hg2Ru after structural relaxation from Alexandria. Energies are from PBE.

Geometry as extended XYZ:
```
7
Lattice="-0.454 -5.318 0.310 2.648 -0.495 -4.618 5.588 2.561 6.024" Properties=species:S:1:pos:R:3 pbc="T T T"
Ru 0.000 0.000 0.000
Hg 2.716 -2.990 -1.217
Hg 5.066 -0.261 2.933
Pm 5.355 -3.126 0.311
Pm 2.427 -0.125 1.405
Pm 1.324 -0.247 -2.309
Pm -0.227 -2.659 0.155
```

Summary:
The calculation puts the energy at -4.30 eV per atom. The value obtained for the distance to the lowest polymorph of the same formula is 76 meV per atom. The value obtained for the density of states at the Fermi level is 9.00 states/eV/f.u. The calculation puts the formation energy at -0.177 eV/atom.

---

# 10
Here is CsSi3Ni after structural relaxation from Alexandria. Energies are from PBE.

Geometry as extended XYZ:
```
5
Lattice="5.414 0.000 0.000 0.000 5.414 0.000 0.000 0.000 5.414" Properties=species:S:1:pos:R:3 pbc="T T T"
Cs 0.000 0.000 0.000
Ni 2.707 2.707 2.707
Si 0.000 2.707 0.000
Si 0.000 0.000 2.707
Si 2.707 0.000 0.000
```

Summary:
The calculation puts the energy at -1.84 eV per atom. The value obtained for the distance to the lowest polymorph of the same formula is 2110 meV per atom. The value obtained for the density of states at the Fermi level is 5.98 states/eV/f.u.

---

# 11
Here is NaCu2AgBr4 after structural relaxation from Alexandria. Energies are from PBE.

Geometry as extended XYZ:
```
8
Lattice="-4.993 -2.809 1.567 2.622 -1.884 4.986 -0.797 7.547 -0.272" Properties=species:S:1:pos:R:3 pbc="T T T"
Na -1.188 -2.341 3.279
Cu -3.488 1.196 2.285
Cu 0.320 1.658 3.995
Ag -3.167 2.850 6.278
Br -2.022 2.490 3.828
Br 0.211 -0.604 5.029
Br -3.729 -1.083 3.260
Br -0.798 4.911 0.447
```

Summary:
The calculation puts the energy at -2.95 eV per atom.

---

# 12
Here is Zr2VRe after structural relaxation from Alexandria. Energies are from PBE.

Geometry as extended XYZ:
```
4
Lattice="-2.404 -0.766 -2.170 3.017 -2.697 -2.389 -1.209 -3.693 2.643" Properties=species:S:1:pos:R:3 pbc="T T T"
Re -1.202 -0.383 -1.085
Zr -0.604 -1.846 1.321
Zr 1.508 -1.348 -1.194
V -0.298 -3.578 -0.958
```

Summary:
The calculation puts the energy at -9.71 eV per atom. The value obtained for the density of states at the Fermi level is 2.98 states/eV/f.u. The calculation puts the formation energy at -0.047 eV/atom.

---

# 13
Here is Ho2IrAu after structural relaxation from Alexandria. Energies are from PBE.

Geometry as extended XYZ:
```
4
Lattice="-4.327 0.944 2.200 -2.943 -3.731 1.370 -0.612 -1.033 4.797" Properties=species:S:1:pos:R:3 pbc="T T T"
Ir -5.911 -2.865 6.275
Au -1.970 -0.955 2.092
Ho 0.000 0.000 0.000
Ho -3.941 -1.910 4.184
```

Summary:
The calculation puts the energy at -6.17 eV per atom. The value obtained for the density of states at the Fermi level is 2.33 states/eV/f.u. The calculation puts the formation energy at -0.849 eV/atom.

---

# 14
Here is K2HfTc after structural relaxation from Alexandria. Energies are from PBE.

Geometry as extended XYZ:
```
8
Lattice="12.633 0.000 0.000 0.000 12.633 0.000 6.317 6.317 2.322" Properties=species:S:1:pos:R:3 pbc="T T T"
K 7.480 3.158 0.580
K 5.153 9.475 0.580
K 9.475 11.470 1.741
K 15.792 13.796 1.741
Hf 0.000 0.000 0.000
Hf 12.633 6.317 1.161
Tc 6.317 6.317 0.000
Tc 6.317 12.633 1.161
```

Summary:
The calculation puts the energy at -4.38 eV per atom. The value obtained for the density of states at the Fermi level is 4.36 states/eV/f.u. The calculation puts the formation energy at 1.252 eV/atom.

---

# 15
Here is TcHgH3 after structural relaxation from Alexandria. Energies are from PBE.

Geometry as extended XYZ:
```
5
Lattice="3.665 0.000 0.000 0.000 3.665 0.000 0.000 0.000 3.665" Properties=species:S:1:pos:R:3 pbc="T T T"
H 0.000 1.833 0.000
H 0.000 0.000 1.833
H 1.833 0.000 0.000
Hg 0.000 0.000 0.000
Tc 1.833 1.833 1.833
```

Summary:
The calculation puts the energy at -2.89 eV per atom. The value obtained for the distance to the lowest polymorph of the same formula is 838 meV per atom. The value obtained for the density of states at the Fermi level is 1.42 states/eV/f.u.

---

# 16
Here is Sm5HoSc4 after structural relaxation from Alexandria. Energies are from PBE.

Geometry as extended XYZ:
```
10
Lattice="-1.633 -3.617 -4.754 -2.295 -6.997 2.078 -7.402 0.501 -1.872" Properties=species:S:1:pos:R:3 pbc="T T T"
Sm -8.889 -5.226 -4.683
Sm -6.863 -6.722 -0.206
Sm -4.309 -3.042 -3.883
Sm -2.283 -4.539 0.593
Sm -1.113 -2.465 -3.240
Ho -0.362 -0.802 -1.055
Sc -6.765 -3.977 -2.315
Sc -7.252 -7.519 -3.487
Sc -3.914 -2.233 -0.587
Sc -4.402 -5.775 -1.759
```

Summary:
The calculation puts the energy at -5.02 eV per atom. The value obtained for the distance to the lowest polymorph of the same formula is 289 meV per atom. The value obtained for the density of states at the Fermi level is 15.77 states/eV/f.u. The calculation puts the formation energy at 0.334 eV/atom.

---

# 17
Here is Rb2BaRe after structural relaxation from Alexandria. Energies are from PBE.

Geometry as extended XYZ:
```
4
Lattice="-0.236 -6.124 1.012 -5.435 -2.992 -0.311 -1.142 -3.885 -4.711" Properties=species:S:1:pos:R:3 pbc="T T T"
Re -3.406 -6.501 -2.005
Ba 0.000 0.000 0.000
Rb -1.703 -3.250 -1.002
Rb -5.110 -9.751 -3.007
```

Summary:
The calculation puts the energy at -2.52 eV per atom. The value obtained for the distance to the lowest polymorph of the same formula is 104 meV per atom. The value obtained for the density of states at the Fermi level is 4.87 states/eV/f.u. The calculation puts the formation energy at 1.561 eV/atom.

---

# 18
Here is ReAg3Ge after structural relaxation from Alexandria. Energies are from PBE.

Geometry as extended XYZ:
```
5
Lattice="-2.099 2.503 3.514 -0.457 -4.015 2.586 4.290 0.796 1.995" Properties=species:S:1:pos:R:3 pbc="T T T"
Re 0.867 -0.358 4.048
Ge 0.000 0.000 0.000
Ag -0.229 -2.008 1.293
Ag 2.145 0.398 0.997
Ag -1.049 1.251 1.757
```

Summary:
The calculation puts the energy at -3.66 eV per atom. The value obtained for the distance to the lowest polymorph of the same formula is 0 meV per atom. The value obtained for the density of states at the Fermi level is 3.36 states/eV/f.u. The calculation puts the formation energy at 1.468 eV/atom.

---

# 19
Here is Re2IrC2 after structural relaxation from Alexandria. Energies are from PBE.

Geometry as extended XYZ:
```
5
Lattice="3.897 0.000 0.000 0.000 3.897 0.000 1.949 1.949 3.771" Properties=species:S:1:pos:R:3 pbc="T T T"
Re 3.897 1.949 1.886
Re 1.949 3.897 1.886
C 1.949 1.949 0.784
C 3.897 3.897 2.987
Ir 0.000 0.000 0.000
```

Summary:
The calculation puts the energy at -9.69 eV per atom. The value obtained for the distance to the lowest polymorph of the same formula is 0 meV per atom. The value obtained for the density of states at the Fermi level is 2.67 states/eV/f.u. The calculation puts the formation energy at 0.749 eV/atom.

---

# 20
Here is SbIr after structural relaxation from Alexandria. Energies are from PBE.

Geometry as extended XYZ:
```
4
Lattice="4.060 0.000 0.000 -2.030 3.516 0.000 0.000 0.000 5.602" Properties=species:S:1:pos:R:3 pbc="T T T"
Sb 0.000 2.344 1.400
Sb 2.030 1.172 4.201
Ir 0.000 0.000 0.000
Ir 0.000 0.000 2.801
```

Summary:
The calculation puts the energy at -6.69 eV per atom. The value obtained for the density of states at the Fermi level is 0.92 states/eV/f.u.